Version a
Below is crystalline CePm4Tm5 at its relaxed geometry, with properties calculated at the PBE level.

Cell lengths 8.1212, 8.1212, 9.7589 Å; angles 126.39, 126.39, 41.78 degrees
Element x y z (fractional)
Ce (0.0000, 0.0000, 0.0000)
Pm (0.2468, 0.2468, 0.1703)
Pm (0.2609, 0.2609, 0.5982)
Pm (0.7391, 0.7391, 0.4018)
Pm (0.7532, 0.7532, 0.8297)
Tm (0.0743, 0.0743, 0.7269)
Tm (0.4215, 0.4215, 0.0765)
Tm (0.5000, 0.5000, 0.5000)
Tm (0.5785, 0.5785, 0.9235)
Tm (0.9257, 0.9257, 0.2731)

Summary:
- N(E_F): 2.029 states/eV per atom
- Spin magnetization: 1.22 μB/f.u.
- Space group: No. 12

***

Version b
Below is crystalline CePm4Tm5 at its relaxed geometry, with properties calculated at the PBE level.

Cell lengths 8.0208, 8.0208, 8.0208 Å; angles 97.73, 97.73, 136.97 degrees
Element x y z (fractional)
Ce (0.0000, 0.0000, 0.0000)
Pm (0.0763, 0.7525, 0.3238)
Pm (0.4287, 0.7525, 0.6762)
Pm (0.7525, 0.0763, 0.3238)
Pm (0.7525, 0.4287, 0.6762)
Tm (0.0703, 0.0703, 0.6267)
Tm (0.0703, 0.4436, 0.0000)
Tm (0.4436, 0.0703, 0.0000)
Tm (0.4436, 0.4436, 0.3733)
Tm (0.5307, 0.5307, 0.0000)

Summary:
- N(E_F): 1.651 states/eV per atom
- Spin magnetization: 0.53 μB/f.u.
- Space group: No. 107

***

On energetic grounds, version a is preferred over the next structure by 0.7 kJ/mol of atoms.

***

Version a
Below is crystalline Ce2PmTm at its relaxed geometry, with properties calculated at the PBE level.

Cell lengths 11.7419, 11.7419, 11.7419 Å; angles 17.12, 17.12, 17.12 degrees
Element x y z (fractional)
Ce (0.0000, 0.0000, 0.0000)
Ce (0.1624, 0.1624, 0.1624)
Pm (0.5793, 0.5793, 0.5793)
Tm (0.7484, 0.7484, 0.7484)

Summary:
- N(E_F): 2.619 states/eV per atom
- Spin magnetization: 1.60 μB/f.u.
- Space group: No. 160

***

Version b
Below is crystalline Ce2PmTm at its relaxed geometry, with properties calculated at the PBE level.

Cell lengths 6.3367, 6.3367, 6.4251 Å; angles 99.03, 99.03, 95.94 degrees
Element x y z (fractional)
Ce (0.0059, 0.2059, 0.4441)
Ce (0.2059, 0.0059, 0.9441)
Ce (0.7941, 0.9941, 0.0559)
Ce (0.9941, 0.7941, 0.5559)
Pm (0.0000, 0.5000, 0.0000)
Pm (0.5000, 0.0000, 0.5000)
Tm (0.4539, 0.5461, 0.7500)
Tm (0.5461, 0.4539, 0.2500)

Summary:
- N(E_F): 2.528 states/eV per atom
- Spin magnetization: 0.00 μB/f.u.
- Space group: No. 15

***

On energetic grounds, version a is preferred over the next structure by 7.7 kJ/mol of atoms.

***

Version a
Below is crystalline Ce2PmTm at its relaxed geometry, with properties calculated at the PBE level.

Cell lengths 3.4753, 3.4753, 10.1571 Å; angles 90.00, 90.00, 90.00 degrees
Element x y z (fractional)
Ce (0.0000, 0.0000, 0.2457)
Ce (0.0000, 0.0000, 0.7543)
Pm (0.5000, 0.5000, 0.5000)
Tm (0.5000, 0.5000, 0.0000)

Summary:
- N(E_F): 2.581 states/eV per atom
- Spin magnetization: 1.55 μB/f.u.
- Space group: No. 123

***

Version b
Below is crystalline Ce2PmTm at its relaxed geometry, with properties calculated at the PBE level.

Cell lengths 5.6512, 5.6512, 5.6512 Å; angles 60.00, 60.00, 60.00 degrees
Element x y z (fractional)
Ce (0.2500, 0.2500, 0.2500)
Ce (0.7500, 0.7500, 0.7500)
Pm (0.0000, 0.0000, 0.0000)
Tm (0.5000, 0.5000, 0.5000)

Summary:
- N(E_F): 4.170 states/eV per atom
- Spin magnetization: 2.09 μB/f.u.
- Space group: No. 225

***

Version c
Below is crystalline Ce2PmTm at its relaxed geometry, with properties calculated at the PBE level.

Cell lengths 12.5286, 12.5286, 12.5286 Å; angles 15.39, 15.39, 15.39 degrees
Element x y z (fractional)
Ce (0.0843, 0.0843, 0.0843)
Ce (0.9157, 0.9157, 0.9157)
Pm (0.5000, 0.5000, 0.5000)
Tm (0.0000, 0.0000, 0.0000)

Summary:
- N(E_F): 2.648 states/eV per atom
- Spin magnetization: 1.56 μB/f.u.
- Space group: No. 166

***

On energetic grounds, version a is preferred over the next structure by 12.4 kJ/mol of atoms.

***

Version a
Below is crystalline CePm12Tm7 at its relaxed geometry, with properties calculated at the PBE level.

Cell lengths 11.4571, 11.4571, 11.4571 Å; angles 116.89, 116.89, 116.89 degrees
Element x y z (fractional)
Ce (0.0000, 0.0000, 0.0000)
Pm (0.0707, 0.4253, 0.4243)
Pm (0.0861, 0.9121, 0.4987)
Pm (0.0879, 0.5013, 0.9139)
Pm (0.4243, 0.0707, 0.4253)
Pm (0.4253, 0.4243, 0.0707)
Pm (0.4987, 0.0861, 0.9121)
Pm (0.5013, 0.9139, 0.0879)
Pm (0.5747, 0.5757, 0.9293)
Pm (0.5757, 0.9293, 0.5747)
Pm (0.9121, 0.4987, 0.0861)
Pm (0.9139, 0.0879, 0.5013)
Pm (0.9293, 0.5747, 0.5757)
Tm (0.1188, 0.1198, 0.3608)
Tm (0.1198, 0.3608, 0.1188)
Tm (0.3608, 0.1188, 0.1198)
Tm (0.5000, 0.5000, 0.5000)
Tm (0.6392, 0.8812, 0.8802)
Tm (0.8802, 0.6392, 0.8812)
Tm (0.8812, 0.8802, 0.6392)

Summary:
- N(E_F): 1.644 states/eV per atom
- Spin magnetization: 0.63 μB/f.u.
- Space group: No. 148

***

Version b
Below is crystalline CePm12Tm7 at its relaxed geometry, with properties calculated at the PBE level.

Cell lengths 10.1621, 10.1621, 10.1621 Å; angles 113.17, 113.17, 113.17 degrees
Element x y z (fractional)
Ce (0.0000, 0.0000, 0.0000)
Pm (0.0000, 0.2876, 0.7124)
Pm (0.0000, 0.7124, 0.2876)
Pm (0.0692, 0.4080, 0.4080)
Pm (0.2876, 0.0000, 0.7124)
Pm (0.2876, 0.7124, 0.0000)
Pm (0.4080, 0.0692, 0.4080)
Pm (0.4080, 0.4080, 0.0692)
Pm (0.5920, 0.5920, 0.9308)
Pm (0.5920, 0.9308, 0.5920)
Pm (0.7124, 0.0000, 0.2876)
Pm (0.7124, 0.2876, 0.0000)
Pm (0.9308, 0.5920, 0.5920)
Tm (0.1633, 0.1633, 0.4938)
Tm (0.1633, 0.4938, 0.1633)
Tm (0.4938, 0.1633, 0.1633)
Tm (0.5000, 0.5000, 0.5000)
Tm (0.5062, 0.8367, 0.8367)
Tm (0.8367, 0.5062, 0.8367)
Tm (0.8367, 0.8367, 0.5062)

Summary:
- N(E_F): 1.758 states/eV per atom
- Spin magnetization: 1.39 μB/f.u.
- Space group: No. 166

***

On energetic grounds, version b is preferred over the next structure by 1.3 kJ/mol of atoms.

***

Version a
Below is crystalline CePm4Tm at its relaxed geometry, with properties calculated at the PBE level.

Cell lengths 6.2196, 3.5936, 18.7563 Å; angles 90.00, 109.30, 90.00 degrees
Element x y z (fractional)
Ce (0.0000, 0.0000, 0.0000)
Ce (0.0000, 0.5000, 0.5000)
Pm (0.1658, 0.0017, 0.8365)
Pm (0.1658, 0.4983, 0.3365)
Pm (0.3280, 0.0012, 0.6638)
Pm (0.3280, 0.4988, 0.1638)
Pm (0.6720, 0.5012, 0.8362)
Pm (0.6720, 0.9988, 0.3362)
Pm (0.8342, 0.5017, 0.6635)
Pm (0.8342, 0.9983, 0.1635)
Tm (0.5000, 0.0000, 0.5000)
Tm (0.5000, 0.5000, 0.0000)

Summary:
- N(E_F): 1.930 states/eV per atom
- Spin magnetization: 0.86 μB/f.u.
- Space group: No. 14

***

Version b
Below is crystalline CePm4Tm at its relaxed geometry, with properties calculated at the PBE level.

Cell lengths 8.4653, 8.4653, 8.4653 Å; angles 133.40, 92.39, 105.74 degrees
Element x y z (fractional)
Ce (0.0000, 0.0000, 0.0000)
Ce (0.5000, 0.0000, 0.5000)
Pm (0.1724, 0.1728, 0.5004)
Pm (0.1720, 0.6656, 0.5064)
Pm (0.1724, 0.6720, 0.9996)
Pm (0.3408, 0.3344, 0.0064)
Pm (0.6592, 0.6656, 0.9936)
Pm (0.8276, 0.3280, 0.0004)
Pm (0.8280, 0.3344, 0.4936)
Pm (0.8276, 0.8272, 0.4996)
Tm (0.5000, 0.0000, 0.0000)
Tm (0.5000, 0.5000, 0.5000)

Summary:
- N(E_F): 2.497 states/eV per atom
- Spin magnetization: 1.50 μB/f.u.
- Space group: No. 74

***

On energetic grounds, version a is preferred over the next structure by 19.8 kJ/mol of atoms.

***

Version a
Below is crystalline CePm3Tm6 at its relaxed geometry, with properties calculated at the PBE level.

Cell lengths 8.7700, 8.7700, 9.1574 Å; angles 90.00, 90.00, 115.22 degrees
Element x y z (fractional)
Ce (0.2436, 0.7564, 0.5000)
Ce (0.7564, 0.2436, 0.0000)
Pm (0.0296, 0.3098, 0.5268)
Pm (0.3098, 0.0296, 0.0268)
Pm (0.4674, 0.5326, 0.5328)
Pm (0.5326, 0.4674, 0.0328)
Pm (0.6902, 0.9704, 0.5268)
Pm (0.9704, 0.6902, 0.0268)
Tm (0.0618, 0.9382, 0.6798)
Tm (0.1301, 0.2787, 0.8689)
Tm (0.1643, 0.4740, 0.1983)
Tm (0.2787, 0.1301, 0.3689)
Tm (0.3032, 0.6968, 0.8354)
Tm (0.4740, 0.1643, 0.6983)
Tm (0.5260, 0.8357, 0.1983)
Tm (0.6968, 0.3032, 0.3354)
Tm (0.7213, 0.8699, 0.8689)
Tm (0.8357, 0.5260, 0.6983)
Tm (0.8699, 0.7213, 0.3689)
Tm (0.9382, 0.0618, 0.1798)

Summary:
- N(E_F): 1.554 states/eV per atom
- Spin magnetization: 1.03 μB/f.u.
- Space group: No. 36

***

Version b
Below is crystalline CePm3Tm6 at its relaxed geometry, with properties calculated at the PBE level.

Cell lengths 6.1511, 6.5211, 8.6954 Å; angles 72.09, 71.68, 87.16 degrees
Element x y z (fractional)
Ce (0.0000, 0.0000, 0.0000)
Pm (0.0000, 0.5000, 0.5000)
Pm (0.4535, 0.1915, 0.8034)
Pm (0.5465, 0.8085, 0.1966)
Tm (0.0368, 0.0503, 0.3081)
Tm (0.2156, 0.5494, 0.0626)
Tm (0.4885, 0.7455, 0.6335)
Tm (0.5115, 0.2545, 0.3665)
Tm (0.7844, 0.4506, 0.9374)
Tm (0.9632, 0.9497, 0.6919)

Summary:
- N(E_F): 1.688 states/eV per atom
- Spin magnetization: 0.47 μB/f.u.
- Space group: No. 2

***

On energetic grounds, version a is preferred over the next structure by 5.6 kJ/mol of atoms.

***

Version a
Below is crystalline CePmTm3 at its relaxed geometry, with properties calculated at the PBE level.

Cell lengths 6.1056, 6.1205, 9.3161 Å; angles 108.82, 102.65, 99.91 degrees
Element x y z (fractional)
Ce (0.2408, 0.1919, 0.1446)
Ce (0.7592, 0.8081, 0.8554)
Pm (0.2471, 0.7993, 0.3472)
Pm (0.7529, 0.2007, 0.6528)
Tm (0.2516, 0.5985, 0.9492)
Tm (0.2520, 0.9957, 0.7526)
Tm (0.2532, 0.4025, 0.5497)
Tm (0.7468, 0.5975, 0.4503)
Tm (0.7480, 0.0043, 0.2474)
Tm (0.7484, 0.4015, 0.0508)

Summary:
- N(E_F): 2.075 states/eV per atom
- Spin magnetization: 1.16 μB/f.u.
- Space group: No. 2

***

Version b
Below is crystalline CePmTm3 at its relaxed geometry, with properties calculated at the PBE level.

Cell lengths 9.9515, 3.5195, 17.5163 Å; angles 90.00, 90.00, 90.00 degrees
Element x y z (fractional)
Ce (0.1192, 0.2500, 0.0486)
Ce (0.3808, 0.7500, 0.5486)
Ce (0.6192, 0.2500, 0.4514)
Ce (0.8808, 0.7500, 0.9514)
Pm (0.1249, 0.2500, 0.6486)
Pm (0.3751, 0.7500, 0.1486)
Pm (0.6249, 0.2500, 0.8514)
Pm (0.8751, 0.7500, 0.3514)
Tm (0.1216, 0.2500, 0.8510)
Tm (0.1271, 0.2500, 0.2497)
Tm (0.1306, 0.2500, 0.4504)
Tm (0.3694, 0.7500, 0.9504)
Tm (0.3729, 0.7500, 0.7497)
Tm (0.3784, 0.7500, 0.3510)
Tm (0.6216, 0.2500, 0.6490)
Tm (0.6271, 0.2500, 0.2503)
Tm (0.6306, 0.2500, 0.0496)
Tm (0.8694, 0.7500, 0.5496)
Tm (0.8729, 0.7500, 0.7503)
Tm (0.8784, 0.7500, 0.1490)

Summary:
- N(E_F): 1.701 states/eV per atom
- Spin magnetization: 0.66 μB/f.u.
- Space group: No. 62

***

On energetic grounds, version b is preferred over the next structure by 1.7 kJ/mol of atoms.

***

Version a
Below is crystalline CePmTm4 at its relaxed geometry, with properties calculated at the PBE level.

Cell lengths 10.2937, 10.2937, 5.6041 Å; angles 90.00, 90.00, 141.33 degrees
Element x y z (fractional)
Ce (0.1250, 0.8750, 0.7500)
Ce (0.8750, 0.1250, 0.2500)
Pm (0.3746, 0.6254, 0.2500)
Pm (0.6254, 0.3746, 0.7500)
Tm (0.0419, 0.4589, 0.7500)
Tm (0.2085, 0.2920, 0.7500)
Tm (0.2920, 0.2085, 0.2500)
Tm (0.4589, 0.0419, 0.2500)
Tm (0.5411, 0.9581, 0.7500)
Tm (0.7080, 0.7915, 0.7500)
Tm (0.7915, 0.7080, 0.2500)
Tm (0.9581, 0.5411, 0.2500)

Summary:
- N(E_F): 1.913 states/eV per atom
- Spin magnetization: 1.01 μB/f.u.
- Space group: No. 63

***

Version b
Below is crystalline CePmTm4 at its relaxed geometry, with properties calculated at the PBE level.

Cell lengths 8.7012, 8.7012, 6.1509 Å; angles 96.78, 96.78, 23.46 degrees
Element x y z (fractional)
Ce (0.0000, 0.0000, 0.0000)
Pm (0.5000, 0.5000, 0.5000)
Tm (0.1683, 0.1683, 0.3864)
Tm (0.3328, 0.3328, 0.1085)
Tm (0.6672, 0.6672, 0.8915)
Tm (0.8317, 0.8317, 0.6136)

Summary:
- N(E_F): 1.735 states/eV per atom
- Spin magnetization: 0.73 μB/f.u.
- Space group: No. 12

***

On energetic grounds, version b is preferred over the next structure by 7.7 kJ/mol of atoms.